Below is Na2HgCl5 after structural relaxation, with properties calculated at the GGA-PBE level.

Results
Fermi-level density of states: 0.4329 states/eV per atom
ΔE_f (raw): -1.033 eV/atom
Calculated volume: 29.44 Å³/atom
Crystal system: orthorhombic

Unit cell a=7.3135 b=7.3135 c=12.3443 alpha=90.00 beta=90.00 gamma=134.50
Last column: nearest neighbours and their distance in Å.
Fractional coordinates of all 16 atoms:
1 Na 0.1696 0.8304 0.5780  6 Cl 2.76-2.91
2 Na 0.1696 0.8304 0.9220  6 Cl 2.76-2.91
3 Na 0.8304 0.1696 0.0780  6 Cl 2.76-2.91
4 Na 0.8304 0.1696 0.4220  6 Cl 2.76-2.91
5 Hg 0.1775 0.8225 0.2500  6 Cl 2.54-2.84
6 Hg 0.8225 0.1775 0.7500  6 Cl 2.54-2.84
7 Cl 0.0449 0.9551 0.1038  1 Hg 2.54, 1 Na 2.80, 1 Cl 2.83
8 Cl 0.0449 0.9551 0.3962  1 Hg 2.54, 1 Na 2.80, 1 Cl 2.83
9 Cl 0.3006 0.6994 0.7500  2 Na 2.76, 2 Hg 2.84
10 Cl 0.3089 0.6911 0.0983  1 Hg 2.58, 3 Na 2.85-2.87
11 Cl 0.3089 0.6911 0.4017  1 Hg 2.58, 3 Na 2.85-2.87
12 Cl 0.6911 0.3089 0.5983  1 Hg 2.58, 3 Na 2.85-2.87
13 Cl 0.6911 0.3089 0.9017  1 Hg 2.58, 3 Na 2.85-2.87
14 Cl 0.6994 0.3006 0.2500  2 Na 2.76, 2 Hg 2.84
15 Cl 0.9551 0.0449 0.6038  1 Hg 2.54, 1 Na 2.80, 1 Cl 2.83
16 Cl 0.9551 0.0449 0.8962  1 Hg 2.54, 1 Na 2.80, 1 Cl 2.83